This record from Alexandria describes a relaxed Pm2PaS3 crystal. The functional is PBE.

```
data_Pm2PaS3
_symmetry_space_group_name_H-M 'C 1 2/m 1'
_symmetry_Int_Tables_number 12
_symmetry_space_group_name_Hall '-C 2y'
_cell_length_a 6.880
_cell_length_b 11.908
_cell_length_c 6.931
_cell_angle_alpha 90.00
_cell_angle_beta 109.37
_cell_angle_gamma 90.00
loop_
_atom_site_label
_atom_site_fract_x
_atom_site_fract_y
_atom_site_fract_z
Pm1 0.000 0.000 0.000
Pm2 0.000 0.162 0.500
Pm3 0.000 0.500 0.500
Pa1 0.000 0.333 0.000
S1 0.241 0.500 0.241
S2 0.248 0.330 0.755
```

Uncorrected formation energy in eV/atom: -1.86
Density in Mg/m³: 7.65